[1]
# ScBe2Bi

An optimized crystal structure of ScBe2Bi (PBE, Alexandria via LeMat-Bulk).

Cell lengths 7.353, 7.353, 5.920 Å; angles 51.61, 51.61, 90.00 degrees
Element x y z (fractional)
Be (0.375, 0.352, 0.750)
Be (0.648, 0.125, 0.250)
Be (0.102, 0.625, 0.250)
Be (0.875, 0.898, 0.750)
Bi (0.000, 0.000, 0.000)
Bi (0.750, 0.250, 0.500)
Sc (0.250, 0.750, 0.500)
Sc (0.500, 0.500, 0.000)

The calculation puts the magnetic moment at 0.0 μB per cell. Its density of states at the Fermi level is 0.292 states/eV per atom. The calculation puts the calculated total energy at -0.291 Ry/atom. Its calculated volume is 153.1 Å³ per cell.

***

[2]
# YAlP2S

An optimized crystal structure of YAlP2S (PBE, Alexandria via LeMat-Bulk).

Cell lengths 4.618, 4.618, 4.756 Å; angles 90.00, 90.00, 90.00 degrees
Element x y z (fractional)
S (0.000, 0.000, 0.500)
Y (0.500, 0.500, 0.500)
P (0.000, 0.500, 0.000)
P (0.500, 0.000, 0.000)
Al (0.000, 0.000, 0.000)

The calculation puts the magnetic moment at 0.0 μB per cell. Its density of states at the Fermi level is 0.759 states/eV per atom. Its uncorrected formation energy is -0.332 eV/atom. Its calculated volume is 101.4 Å³ per cell.

***

[3]
# CdAg8Sb2

An optimized crystal structure of CdAg8Sb2 (PBE, Alexandria via LeMat-Bulk).

Cell lengths 5.021, 7.569, 7.569 Å; angles 59.17, 80.11, 80.11 degrees
Element x y z (fractional)
Sb (0.416, 0.150, 0.150)
Sb (0.584, 0.850, 0.850)
Ag (0.770, 0.620, 0.247)
Ag (0.230, 0.380, 0.753)
Ag (0.701, 0.631, 0.631)
Ag (0.770, 0.247, 0.620)
Ag (0.230, 0.753, 0.380)
Ag (0.870, 0.240, 0.240)
Ag (0.130, 0.760, 0.760)
Ag (0.299, 0.369, 0.369)
Cd (0.000, 0.000, 0.000)

The calculation puts the magnetic moment at 0.0 μB per cell. Its density of states at the Fermi level is 0.370 states/eV per atom. Its uncorrected formation energy is 0.128 eV/atom. Its calculated volume is 242.1 Å³ per cell.

***

[4]
# MgSiSb3

An optimized crystal structure of MgSiSb3 (PBE, Alexandria via LeMat-Bulk).

Cell lengths 5.323, 5.323, 5.323 Å; angles 90.00, 90.00, 90.00 degrees
Element x y z (fractional)
Si (0.500, 0.500, 0.500)
Sb (0.000, 0.500, 0.000)
Sb (0.500, 0.000, 0.000)
Sb (0.000, 0.000, 0.500)
Mg (0.000, 0.000, 0.000)

The calculation puts the magnetic moment at 0.0 μB per cell. Its density of states at the Fermi level is 0.807 states/eV per atom. Its uncorrected formation energy is 0.894 eV/atom. Its calculated volume is 150.8 Å³ per cell.

***

[5]
# In3TeC

An optimized crystal structure of In3TeC (PBE, Alexandria via LeMat-Bulk).

Cell lengths 6.208, 6.208, 6.208 Å; angles 90.00, 90.00, 90.00 degrees
Site moments in Bohr magnetons follow the coordinates.
Element x y z (fractional)
C (0.500, 0.500, 0.500)  1.05
Te (0.000, 0.000, 0.000)  0.03
In (0.000, 0.000, 0.500)  0.02
In (0.000, 0.500, 0.000)  0.01
In (0.500, 0.000, 0.000)  0.01

The calculation puts the magnetic moment at 2.7 μB per cell. Its density of states at the Fermi level is 0.631 states/eV per atom. Its uncorrected formation energy is 1.706 eV/atom. Its calculated volume is 239.3 Å³ per cell.

***

[6]
# BaNaHf2

An optimized crystal structure of BaNaHf2 (PBE, Alexandria via LeMat-Bulk).

Cell lengths 5.458, 5.458, 5.458 Å; angles 60.00, 60.00, 60.00 degrees
Element x y z (fractional)
Hf (0.250, 0.250, 0.250)
Hf (0.750, 0.750, 0.750)
Ba (0.500, 0.500, 0.500)
Na (0.000, 0.000, 0.000)

The calculation puts the magnetic moment at 0.0 μB per cell. Its density of states at the Fermi level is 2.780 states/eV per atom. The calculation puts the calculated total energy at -0.339 Ry/atom. Its calculated volume is 115.0 Å³ per cell.

***

[7]
# BaTbHg4

An optimized crystal structure of BaTbHg4 (PBE, Alexandria via LeMat-Bulk).

Cell lengths 4.027, 4.027, 10.606 Å; angles 90.00, 90.00, 90.00 degrees
Element x y z (fractional)
Hg (0.000, 0.000, 0.649)
Hg (0.500, 0.500, 0.804)
Hg (0.000, 0.000, 0.351)
Hg (0.500, 0.500, 0.196)
Ba (0.000, 0.000, 0.000)
Tb (0.500, 0.500, 0.500)

The calculation puts the magnetic moment at 0.0 μB per cell. Its density of states at the Fermi level is 0.352 states/eV per atom. The calculation puts the calculated total energy at -0.124 Ry/atom. Its calculated volume is 172.0 Å³ per cell.

***

[8]
# Ac2AsRhO6

An optimized crystal structure of Ac2AsRhO6 (PBE, Alexandria via LeMat-Bulk).

Cell lengths 4.246, 5.745, 5.745 Å; angles 90.00, 90.00, 90.00 degrees
Element x y z (fractional)
O (0.675, 0.245, 0.245)
O (0.142, 0.500, 0.500)
O (0.675, 0.755, 0.755)
O (0.675, 0.245, 0.755)
O (0.675, 0.755, 0.245)
O (0.189, 0.000, 0.000)
Rh (0.643, 0.500, 0.500)
As (0.616, 0.000, 0.000)
Ac (0.079, 0.000, 0.500)
Ac (0.079, 0.500, 0.000)

The calculation puts the magnetic moment at 0.0 μB per cell. Its density of states at the Fermi level is 0.169 states/eV per atom. Its uncorrected formation energy is -2.050 eV/atom. Its calculated volume is 140.2 Å³ per cell.

***

[9]
# KPmInTe3

An optimized crystal structure of KPmInTe3 (PBE, Alexandria via LeMat-Bulk).

Cell lengths 4.623, 9.657, 12.944 Å; angles 110.50, 90.00, 90.00 degrees
Element x y z (fractional)
Te (0.250, 0.552, 0.868)
Te (0.750, 0.448, 0.132)
Te (0.750, 0.233, 0.607)
Te (0.250, 0.095, 0.859)
Te (0.750, 0.905, 0.141)
Te (0.250, 0.767, 0.393)
In (0.250, 0.044, 0.619)
In (0.750, 0.956, 0.381)
K (0.250, 0.193, 0.161)
K (0.750, 0.807, 0.839)
Pm (0.750, 0.331, 0.874)
Pm (0.250, 0.669, 0.126)

The calculation puts the magnetic moment at 0.0 μB per cell. Its density of states at the Fermi level is 0.350 states/eV per atom. Its uncorrected formation energy is -0.940 eV/atom. Its calculated volume is 541.3 Å³ per cell.

***

[10]
# BeCu2P

An optimized crystal structure of BeCu2P (PBE, Alexandria via LeMat-Bulk).

Cell lengths 4.292, 4.292, 2.704 Å; angles 90.00, 90.00, 111.10 degrees
Element x y z (fractional)
P (0.500, 0.000, 0.500)
Be (0.000, 0.500, 0.500)
Cu (0.500, 0.500, 0.000)
Cu (0.000, 0.000, 0.000)

The calculation puts the magnetic moment at 0.0 μB per cell. Its density of states at the Fermi level is 0.248 states/eV per atom. The calculation puts the calculated total energy at -0.306 Ry/atom. Its calculated volume is 46.5 Å³ per cell.

***

[11]
# CsRbIr2Br

An optimized crystal structure of CsRbIr2Br (PBE, Alexandria via LeMat-Bulk).

Cell lengths 4.895, 6.027, 4.895 Å; angles 90.00, 90.00, 90.00 degrees
Site moments in Bohr magnetons follow the coordinates.
Element x y z (fractional)
Cs (0.500, 0.500, 0.500)  0.00
Rb (0.000, 0.500, 0.000)  0.00
Ir (0.500, 0.000, 0.000)  0.37
Ir (0.000, 0.000, 0.500)  0.30
Br (0.000, 0.000, 0.000)  0.02

The calculation puts the magnetic moment at 0.7 μB per cell. Its density of states at the Fermi level is 0.843 states/eV per atom. Its uncorrected formation energy is 0.968 eV/atom. Its calculated volume is 144.4 Å³ per cell.

***

[12]
# CaMn2Ag

An optimized crystal structure of CaMn2Ag (PBE, Alexandria via LeMat-Bulk).

Cell lengths 5.361, 5.361, 5.361 Å; angles 134.23, 134.23, 66.73 degrees
Site moments in Bohr magnetons follow the coordinates.
Element x y z (fractional)
Mn (0.500, 0.500, 0.000)  3.63
Mn (0.000, 0.000, 0.000)  3.63
Ca (0.750, 0.250, 0.500)  -0.04
Ag (0.250, 0.750, 0.500)  -0.01

The calculation puts the magnetic moment at 7.5 μB per cell. Its density of states at the Fermi level is 1.303 states/eV per atom. The calculation puts the calculated total energy at -0.392 Ry/atom. Its calculated volume is 77.8 Å³ per cell.

***

- Among the records above, which one has the highest magnetic moment?
  CaMn2Ag